[1]
CaMoO2 | PBE with a Hubbard U | optimized geometry

For the relative energy among the computed polymorphs, the calculation gives 546 meV/atom. Its density of states at the Fermi level is 0.000 states/eV/atom. Its calculated density is 6.10 Mg/m³.

The space group is Fm-3m (No. 225) and the conventional cell measures 5.676, 5.676 and 5.676 Å, with angles of 90.00, 90.00 and 90.00 degrees. Symmetry generates all atoms from Ca at (0.000, 0.000, 0.000), Mo at (0.000, 0.000, 0.500) and O at (0.250, 0.250, 0.250).

---

[2]
Ca3Mo5O12 | PBE with a Hubbard U | optimized geometry

Its calculated density is 4.64 Mg/m³.

The space group is Ia-3d (No. 230) and the conventional cell measures 13.139, 13.139 and 13.139 Å, with angles of 90.00, 90.00 and 90.00 degrees. Symmetry generates all atoms from Ca at (0.000, 0.250, 0.125), Mo at (0.000, 0.000, 0.000), Mo at (0.000, 0.250, 0.375) and O at (0.027, 0.055, 0.653).

---

[3]
CaMo4O8 | PBE with a Hubbard U | optimized geometry

For the relative energy among the computed polymorphs, the calculation gives 0 meV/atom. Its density of states at the Fermi level is 0.219 states/eV/atom. Its calculated density is 4.60 Mg/m³.

The space group is R-3m (No. 166, hexagonal axes) and the conventional cell measures 6.4540, 6.4540 and 16.5846 Å, with angles of 90.00, 90.00 and 120.00 degrees. Symmetry generates all atoms from Ca at (0.0000, 0.0000, 0.0000), Mo at (0.0000, 0.0000, 0.5000), Mo at (0.0000, 0.5000, 0.5000), O at (0.0000, 0.0000, 0.2226) and O at (0.0114, 0.5057, 0.7681).

---

| no. | electronic total energy (eV/cell) |
| --- | --- |
| 1 | -97.4 |
| 2 | -1129.6 |
| 3 | -279.3 |